1.
The following is a PBE-GGA calculation of a relaxed structure of Ca2ErHfP4, from Alexandria.

For the size of the total moment, the calculation gives 0.00 μB per formula unit. Its energy of formation is -28.4 kcal/mol of atoms. Its space-group type is P2/m.

a b c (Å): 6.818 3.915 7.023
angles (deg): 90.00 108.67 90.00
Fractional positions:
Ca (0.000, 0.000, 0.000)
Ca (0.500, 0.500, 0.000)
Er (0.000, 0.500, 0.500)
Hf (0.500, 0.000, 0.500)
P (0.256, 0.000, 0.729)
P (0.270, 0.500, 0.277)
P (0.730, 0.500, 0.723)
P (0.744, 0.000, 0.271)

=====

2.
The following is a PBE-GGA calculation of a relaxed structure of Ca2ErHfSb4, from Alexandria.

The calculation puts the formation energy without anion corrections at -835 meV per atom. For the size of the total moment, the calculation gives 0.00 μB per formula unit. Its space-group type is P2/m.

a b c (Å): 7.470 4.281 7.790
angles (deg): 90.00 108.33 90.00
Fractional positions:
Ca (0.000, 0.000, 0.000)
Ca (0.500, 0.500, 0.000)
Er (0.000, 0.500, 0.500)
Hf (0.500, 0.000, 0.500)
Sb (0.255, 0.000, 0.732)
Sb (0.269, 0.500, 0.274)
Sb (0.731, 0.500, 0.726)
Sb (0.745, 0.000, 0.268)

=====

Q: What is the size of the total moment in the first record?
A: 0.00 μB per formula unit